Arrangement i

DFT (PBE) results for a relaxed SrCaS2 crystal.

For the spin magnetization, the calculation gives 0.0 μB per cell. The density of states at the Fermi level comes out at 0.000 states/eV per atom.

It has space group R3m (No. 160, hexagonal axes), with a = 4.0854 Å, b = 4.0854 Å, c = 21.4995 Å, α = 90.00°, β = 90.00° and γ = 120.00°. The inequivalent atoms are Sr at (0.0000, 0.0000, 0.0000), Ca at (0.0000, 0.0000, 0.8306), S at (0.0000, 0.0000, 0.4180) and S at (0.0000, 0.0000, 0.5797).


Arrangement ii

DFT (PBE) results for a relaxed SrCaS2 crystal.

For the spin magnetization, the calculation gives 0.0 μB per cell. The density of states at the Fermi level comes out at 0.000 states/eV per atom.

It has space group P6_3/mmc (No. 194), with a = 4.1139 Å, b = 4.1139 Å, c = 13.9292 Å, α = 90.00°, β = 90.00° and γ = 120.00°. The inequivalent atoms are Sr at (0.3333, 0.6667, 0.2500), Ca at (0.0000, 0.0000, 0.0000) and S at (0.3333, 0.6667, 0.6168).


Of them, the most stable is arrangement ii and the least stable is arrangement i.


Arrangement i

DFT (PBE) results for a relaxed SrCaS2 crystal.

For the spin magnetization, the calculation gives 0.0 μB per cell. The density of states at the Fermi level comes out at 0.000 states/eV per atom.

It has space group R-3m (No. 166, hexagonal axes), with a = 4.1645 Å, b = 4.1645 Å, c = 20.4173 Å, α = 90.00°, β = 90.00° and γ = 120.00°. The inequivalent atoms are Sr at (0.0000, 0.0000, 0.0000), Ca at (0.0000, 0.0000, 0.5000) and S at (0.0000, 0.0000, 0.2456).


Arrangement ii

DFT (PBE) results for a relaxed SrCaS2 crystal.

For the spin magnetization, the calculation gives 0.0 μB per cell. The density of states at the Fermi level comes out at 0.000 states/eV per atom.

It has space group P4/mmm (No. 123), with a = 4.176 Å, b = 4.176 Å, c = 5.903 Å, α = 90.00°, β = 90.00° and γ = 90.00°. The inequivalent atoms are Sr at (0.000, 0.000, 0.000), Ca at (0.500, 0.500, 0.500), S at (0.000, 0.000, 0.500) and S at (0.500, 0.500, 0.000).


Arrangement iii

DFT (PBE) results for a relaxed SrCaS2 crystal.

For the spin magnetization, the calculation gives 0.0 μB per cell. The density of states at the Fermi level comes out at 0.000 states/eV per atom.

It has space group R-3m (No. 166, hexagonal axes), with a = 4.5317 Å, b = 4.5317 Å, c = 24.3495 Å, α = 90.00°, β = 90.00° and γ = 120.00°. The inequivalent atoms are Sr at (0.0000, 0.0000, 0.0000), Ca at (0.0000, 0.0000, 0.5000) and S at (0.0000, 0.0000, 0.3965).


Of them, the most stable is arrangement i and the least stable is arrangement iii.


Arrangement i

DFT (PBE) results for a relaxed SrCaS3 crystal.

For the spin magnetization, the calculation gives 1.8 μB per cell. The density of states at the Fermi level comes out at 0.873 states/eV per atom.

It has space group Pm-3m (No. 221), with a = 5.209 Å, b = 5.209 Å, c = 5.209 Å, α = 90.00°, β = 90.00° and γ = 90.00°. The inequivalent atoms are Sr at (0.000, 0.000, 0.000), Ca at (0.500, 0.500, 0.500) and S at (0.000, 0.500, 0.500).


Arrangement ii

DFT (PBE) results for a relaxed SrCaS3 crystal.

For the spin magnetization, the calculation gives 2.0 μB per cell. The density of states at the Fermi level comes out at 0.857 states/eV per atom.

It has space group Pm-3m (No. 221), with a = 5.423 Å, b = 5.423 Å, c = 5.423 Å, α = 90.00°, β = 90.00° and γ = 90.00°. The inequivalent atoms are Sr at (0.000, 0.000, 0.000), Ca at (0.500, 0.500, 0.500) and S at (0.000, 0.000, 0.500).


Of them, the most stable is arrangement i and the least stable is arrangement ii.


Arrangement i

DFT (PBE) results for a relaxed CaTaS2 crystal.

For the spin magnetization, the calculation gives 0.0 μB per cell. The density of states at the Fermi level comes out at 0.742 states/eV per atom.

It has space group R-3m (No. 166, hexagonal axes), with a = 3.4836 Å, b = 3.4836 Å, c = 25.8804 Å, α = 90.00°, β = 90.00° and γ = 120.00°. The inequivalent atoms are Ca at (0.0000, 0.0000, 0.0000), Ta at (0.0000, 0.0000, 0.5000) and S at (0.0000, 0.0000, 0.1083).


Arrangement ii

DFT (PBE) results for a relaxed CaTaS2 crystal.

For the spin magnetization, the calculation gives 2.2 μB per cell. The density of states at the Fermi level comes out at 0.766 states/eV per atom.

It has space group I-42d (No. 122), with a = 5.839 Å, b = 5.839 Å, c = 11.844 Å, α = 90.00°, β = 90.00° and γ = 90.00°. The inequivalent atoms are Ca at (0.000, 0.000, 0.000), Ta at (0.000, 0.000, 0.500) and S at (0.199, 0.250, 0.625).


Of them, the most stable is arrangement i and the least stable is arrangement ii.


Arrangement i

DFT (PBE) results for a relaxed CaTaS2 crystal.

For the spin magnetization, the calculation gives 0.0 μB per cell. The density of states at the Fermi level comes out at 0.920 states/eV per atom.

It has space group R-3m (No. 166, hexagonal axes), with a = 3.7164 Å, b = 3.7164 Å, c = 24.0896 Å, α = 90.00°, β = 90.00° and γ = 120.00°. The inequivalent atoms are Ca at (0.0000, 0.0000, 0.0000), Ta at (0.0000, 0.0000, 0.5000) and S at (0.0000, 0.0000, 0.4035).


Arrangement ii

DFT (PBE) results for a relaxed CaTaS2 crystal.

For the spin magnetization, the calculation gives 4.0 μB per cell. The density of states at the Fermi level comes out at 0.695 states/eV per atom.

It has space group Fm-3m (No. 225), with a = 6.482 Å, b = 6.482 Å, c = 6.482 Å, α = 90.00°, β = 90.00° and γ = 90.00°. The inequivalent atoms are Ca at (0.000, 0.000, 0.000), Ta at (0.000, 0.000, 0.500) and S at (0.250, 0.250, 0.250).


Of them, the most stable is arrangement ii and the least stable is arrangement i.


Arrangement i

DFT (PBE) results for a relaxed CaTa3S crystal.

For the spin magnetization, the calculation gives 0.0 μB per cell. The density of states at the Fermi level comes out at 1.309 states/eV per atom.

It has space group Pm-3m (No. 221), with a = 4.793 Å, b = 4.793 Å, c = 4.793 Å, α = 90.00°, β = 90.00° and γ = 90.00°. The inequivalent atoms are Ca at (0.000, 0.000, 0.000), Ta at (0.000, 0.000, 0.500) and S at (0.500, 0.500, 0.500).


Arrangement ii

DFT (PBE) results for a relaxed CaTa3S crystal.

For the spin magnetization, the calculation gives 0.0 μB per cell. The density of states at the Fermi level comes out at 1.339 states/eV per atom.

It has space group Pm-3m (No. 221), with a = 4.690 Å, b = 4.690 Å, c = 4.690 Å, α = 90.00°, β = 90.00° and γ = 90.00°. The inequivalent atoms are Ca at (0.000, 0.000, 0.000), Ta at (0.000, 0.500, 0.500) and S at (0.500, 0.500, 0.500).


Of them, the most stable is arrangement ii and the least stable is arrangement i.


Arrangement i

DFT (PBE) results for a relaxed CaTb2S4 crystal.

For the spin magnetization, the calculation gives 0.0 μB per cell. The density of states at the Fermi level comes out at 0.000 states/eV per atom.

It has space group Pnma (No. 62), with a = 12.036 Å, b = 3.954 Å, c = 14.179 Å, α = 90.00°, β = 90.00° and γ = 90.00°. The inequivalent atoms are Ca at (0.248, 0.250, 0.163), Tb at (0.064, 0.250, 0.386), Tb at (0.088, 0.250, 0.902), S at (0.037, 0.750, 0.783), S at (0.091, 0.250, 0.578), S at (0.132, 0.750, 0.036) and S at (0.203, 0.750, 0.316).


Arrangement ii

DFT (PBE) results for a relaxed CaTb2S4 crystal.

For the spin magnetization, the calculation gives 0.0 μB per cell.

It has space group Cmcm (No. 63), with a = 3.918 Å, b = 12.974 Å, c = 13.355 Å, α = 90.00°, β = 90.00° and γ = 90.00°. The inequivalent atoms are Ca at (0.000, 0.113, 0.250), Tb at (0.000, 0.366, 0.072), S at (0.000, 0.000, 0.000), S at (0.000, 0.272, 0.618) and S at (0.000, 0.462, 0.250).


Of them, the most stable is arrangement ii and the least stable is arrangement i.


Arrangement i

DFT (PBE) results for a relaxed CaTcS3 crystal.

For the spin magnetization, the calculation gives 0.0 μB per cell. The density of states at the Fermi level comes out at 1.088 states/eV per atom.

It has space group Pm-3m (No. 221), with a = 4.697 Å, b = 4.697 Å, c = 4.697 Å, α = 90.00°, β = 90.00° and γ = 90.00°. The inequivalent atoms are Ca at (0.000, 0.000, 0.000), Tc at (0.500, 0.500, 0.500) and S at (0.000, 0.500, 0.500).


Arrangement ii

DFT (PBE) results for a relaxed CaTcS3 crystal.

For the spin magnetization, the calculation gives 3.0 μB per cell. The density of states at the Fermi level comes out at 0.668 states/eV per atom.

It has space group Pm-3m (No. 221), with a = 5.124 Å, b = 5.124 Å, c = 5.124 Å, α = 90.00°, β = 90.00° and γ = 90.00°. The inequivalent atoms are Ca at (0.000, 0.000, 0.000), Tc at (0.500, 0.500, 0.500) and S at (0.000, 0.000, 0.500).


Of them, the most stable is arrangement i and the least stable is arrangement ii.


Arrangement i

DFT (PBE) results for a relaxed CaTc2S2 crystal.

For the spin magnetization, the calculation gives 0.0 μB per cell. The density of states at the Fermi level comes out at 0.574 states/eV per atom.

It has space group I4/mmm (No. 139), with a = 4.062 Å, b = 4.062 Å, c = 10.959 Å, α = 90.00°, β = 90.00° and γ = 90.00°. The inequivalent atoms are Ca at (0.000, 0.000, 0.000), Tc at (0.000, 0.500, 0.250) and S at (0.000, 0.000, 0.356).


Arrangement ii

DFT (PBE) results for a relaxed CaTc2S2 crystal.

For the spin magnetization, the calculation gives 0.0 μB per cell. The density of states at the Fermi level comes out at 1.110 states/eV per atom.

It has space group P4/mbm (No. 127), with a = 7.210 Å, b = 7.210 Å, c = 3.028 Å, α = 90.00°, β = 90.00° and γ = 90.00°. The inequivalent atoms are Ca at (0.000, 0.000, 0.000), Tc at (0.135, 0.365, 0.500) and S at (0.153, 0.653, 0.000).


Of them, the most stable is arrangement i and the least stable is arrangement ii.


Arrangement i

DFT (PBE) results for a relaxed CaTc3S crystal.

For the spin magnetization, the calculation gives 3.5 μB per cell. The density of states at the Fermi level comes out at 1.732 states/eV per atom.

It has space group Pm-3m (No. 221), with a = 4.692 Å, b = 4.692 Å, c = 4.692 Å, α = 90.00°, β = 90.00° and γ = 90.00°. The inequivalent atoms are Ca at (0.000, 0.000, 0.000), Tc at (0.000, 0.000, 0.500) and S at (0.500, 0.500, 0.500).


Arrangement ii

DFT (PBE) results for a relaxed CaTc3S crystal.

For the spin magnetization, the calculation gives 2.0 μB per cell. The density of states at the Fermi level comes out at 0.691 states/eV per atom.

It has space group Pm-3m (No. 221), with a = 4.468 Å, b = 4.468 Å, c = 4.468 Å, α = 90.00°, β = 90.00° and γ = 90.00°. The inequivalent atoms are Ca at (0.000, 0.000, 0.000), Tc at (0.000, 0.500, 0.500) and S at (0.500, 0.500, 0.500).


Of them, the most stable is arrangement ii and the least stable is arrangement i.


Arrangement i

DFT (PBE) results for a relaxed Ca2TeS crystal.

For the spin magnetization, the calculation gives 0.0 μB per cell. The density of states at the Fermi level comes out at 0.000 states/eV per atom.

It has space group R3m (No. 160, hexagonal axes), with a = 4.1780 Å, b = 4.1780 Å, c = 22.3889 Å, α = 90.00°, β = 90.00° and γ = 120.00°. The inequivalent atoms are Ca at (0.0000, 0.0000, 0.0000), Ca at (0.0000, 0.0000, 0.1546), Te at (0.0000, 0.0000, 0.5780) and S at (0.0000, 0.0000, 0.4085).


Arrangement ii

DFT (PBE) results for a relaxed Ca2TeS crystal.

For the spin magnetization, the calculation gives 0.0 μB per cell.

It has space group P-3m1 (No. 164), with a = 4.1581 Å, b = 4.1581 Å, c = 7.5182 Å, α = 90.00°, β = 90.00° and γ = 120.00°. The inequivalent atoms are Ca at (0.3333, 0.6667, 0.2258), Te at (0.0000, 0.0000, 0.5000) and S at (0.0000, 0.0000, 0.0000).


Arrangement iii

DFT (PBE) results for a relaxed Ca2TeS crystal.

For the spin magnetization, the calculation gives 0.0 μB per cell. The density of states at the Fermi level comes out at 0.000 states/eV per atom.

It has space group Cm (No. 8), with a = 8.114 Å, b = 4.671 Å, c = 8.333 Å, α = 90.00°, β = 108.77° and γ = 90.00°. The inequivalent atoms are Ca at (0.000, 0.000, 0.000), Ca at (0.020, 0.500, 0.555), Te at (0.132, 0.000, 0.388) and S at (0.134, 0.500, 0.901).


Of them, the most stable is arrangement i and the least stable is arrangement iii.